First-principles (PBE+U) data for a relaxed MnBrF3 crystal, as listed in Alexandria via LeMat-Bulk.

Computed properties:
Polymorph energy (0 for the lowest one): 0.00 eV/f.u.
Crystal system: monoclinic

```
data_MnBrF3
_cell_length_a 5.5308
_cell_length_b 5.0316
_cell_length_c 6.4891
_cell_angle_alpha 90.00
_cell_angle_beta 90.47
_cell_angle_gamma 90.00
_symmetry_space_group_name_H-M 'P 1 21 1'
_symmetry_Int_Tables_number 4
loop_
_symmetry_equiv_pos_as_xyz
'x,y,z'
'-x,y+1/2,-z'
loop_
_atom_site_label
_atom_site_fract_x
_atom_site_fract_y
_atom_site_fract_z
_atom_site_occupancy
Mn1 0.2500 0.0000 0.0044 1
Br1 0.2464 0.7881 0.6594 1
F1 0.0032 0.7449 0.0946 1
F2 0.2528 0.1680 0.2571 1
F3 0.4986 0.7443 0.0948 1
```